1.
VASP calculation (PBE) on crystalline Rb2GaMoP at its relaxed geometry.

Cell lengths 6.885, 4.645, 6.885 Å; angles 90.00, 90.00, 90.00 degrees
Site moments in Bohr magnetons follow the coordinates.
Sites, in units of the cell vectors:
Ga  0.000  0.000  0.000  -0.03
Rb  0.500  0.000  0.000  0.01
Rb  0.000  0.000  0.500  0.01
P  0.000  0.500  0.000  0.01
Mo  0.500  0.500  0.500  3.99

Calculated values
DFT formation energy (meV per atom): 1026
Density (kg/m³): 2772
DOS(E_F) (states/eV/cell): 1.97
E (eV per cell): -16.1


2.
VASP calculation (PBE) on crystalline Ca4Bi2Se at its relaxed geometry.

Cell lengths 5.356, 5.356, 9.201 Å; angles 106.92, 106.92, 90.00 degrees
Sites, in units of the cell vectors:
Ca  0.178  0.178  0.355
Ca  0.500  0.000  0.000
Ca  0.000  0.500  0.000
Ca  0.822  0.822  0.645
Se  0.000  0.000  0.000
Bi  0.634  0.634  0.268
Bi  0.366  0.366  0.732

Calculated values
Density (kg/m³): 4538
Formation energy from raw total energies (eV/f.u.): -7.45
DOS(E_F) (states/eV/cell): 0.03
E (eV per cell): -26.7


3.
VASP calculation (PBE) on crystalline CoCN at its relaxed geometry.

Cell lengths 3.676, 2.927, 5.850 Å; angles 90.00, 108.55, 90.00 degrees
Sites, in units of the cell vectors:
C  0.934  0.000  0.869
C  0.934  0.500  0.369
N  0.654  0.500  0.176
N  0.654  0.000  0.676
Co  0.127  0.500  0.085
Co  0.127  0.000  0.585

Calculated values
Density (kg/m³): 4727
Formation energy from raw total energies (eV/f.u.): 1.53
DOS(E_F) (states/eV/cell): 4.19
Relative energy among the computed polymorphs (meV per atom): 140.1
E (eV per cell): -46.2


4.
VASP calculation (PBE) on crystalline LiMg2Ga2Cu5 at its relaxed geometry.

Cell lengths 3.790, 8.937, 8.937 Å; angles 90.00, 90.00, 90.00 degrees
Sites, in units of the cell vectors:
Cu  0.500  0.299  0.557
Cu  0.500  0.500  0.000
Cu  0.500  0.443  0.299
Cu  0.500  0.000  0.500
Cu  0.500  0.057  0.799
Cu  0.500  0.943  0.201
Cu  0.500  0.701  0.443
Cu  0.500  0.557  0.701
Cu  0.500  0.799  0.943
Cu  0.500  0.201  0.057
Mg  0.000  0.825  0.675
Mg  0.000  0.675  0.175
Mg  0.000  0.175  0.325
Mg  0.000  0.325  0.825
Ga  0.000  0.876  0.376
Ga  0.000  0.624  0.876
Ga  0.000  0.124  0.624
Ga  0.000  0.376  0.124
Li  0.000  0.500  0.500
Li  0.000  0.000  0.000

Calculated values
DFT formation energy (meV per atom): -63
Density (kg/m³): 5626
DOS(E_F) (states/eV/cell): 5.45
E (eV per cell): -64.5


5.
VASP calculation (PBE) on crystalline SrInPO2 at its relaxed geometry.

Cell lengths 4.463, 4.463, 6.302 Å; angles 90.00, 90.00, 90.00 degrees
Site moments in Bohr magnetons follow the coordinates.
Sites, in units of the cell vectors:
In  0.500  0.500  0.500  -0.01
Sr  0.000  0.000  0.000  0.07
P  0.000  0.000  0.500  0.34
O  0.500  0.000  0.000  0.77
O  0.000  0.500  0.000  0.77

Calculated values
Density (kg/m³): 3511
Formation energy from raw total energies (eV/f.u.): -0.56
DOS(E_F) (states/eV/cell): 3.78
Relative energy among the computed polymorphs (meV per atom): 671.1
E (eV per cell): -20.3


6.
VASP calculation (PBE) on crystalline AlV2CdC at its relaxed geometry.

Cell lengths 5.025, 4.709, 5.025 Å; angles 90.00, 90.00, 90.00 degrees
Site moments in Bohr magnetons follow the coordinates.
Sites, in units of the cell vectors:
Cd  0.000  0.000  0.000  0.07
Al  0.000  0.500  0.000  -0.03
V  0.500  0.000  0.000  2.52
V  0.000  0.000  0.500  2.68
C  0.500  0.500  0.500  -0.56

Calculated values
DFT formation energy (meV per atom): 2571
Density (kg/m³): 3537
DOS(E_F) (states/eV/cell): 8.44
E (eV per cell): -19.3


7.
VASP calculation (PBE) on crystalline Sc2AgCl at its relaxed geometry.

Cell lengths 3.594, 3.594, 7.551 Å; angles 76.25, 76.25, 60.06 degrees
Sites, in units of the cell vectors:
Ag  0.750  0.750  0.750
Sc  0.506  0.506  0.481
Sc  0.994  0.994  0.019
Cl  0.250  0.250  0.250

Calculated values
Density (kg/m³): 4765
Formation energy from raw total energies (eV/f.u.): -2.28
DOS(E_F) (states/eV/cell): 3.24
Relative energy among the computed polymorphs (meV per atom): 95.6
E (eV per cell): -19.6


8.
VASP calculation (PBE) on crystalline K2TiVGe at its relaxed geometry.

Cell lengths 6.270, 4.876, 6.270 Å; angles 90.00, 90.00, 90.00 degrees
Site moments in Bohr magnetons follow the coordinates.
Sites, in units of the cell vectors:
K  0.000  0.000  0.500  0.00
K  0.500  0.000  0.000  0.00
Ti  0.500  0.500  0.500  1.97
Ge  0.000  0.000  0.000  -0.15
V  0.000  0.500  0.000  2.48

Calculated values
DFT formation energy (meV per atom): 1223
Density (kg/m³): 2163
DOS(E_F) (states/eV/cell): 15.18
E (eV per cell): -17.7


9.
VASP calculation (PBE) on crystalline Y3ScMo at its relaxed geometry.

Cell lengths 5.240, 5.240, 5.240 Å; angles 90.00, 90.00, 90.00 degrees
Sites, in units of the cell vectors:
Y  0.000  0.000  0.500
Y  0.000  0.500  0.000
Y  0.500  0.000  0.000
Mo  0.500  0.500  0.500
Sc  0.000  0.000  0.000

Calculated values
DFT formation energy (meV per atom): 1487
Density (kg/m³): 4705
DOS(E_F) (states/eV/cell): 11.17
Relative energy among the computed polymorphs (meV per atom): 991.9
E (eV per cell): -29.1


10.
VASP calculation (PBE) on crystalline Dy2ErPbC at its relaxed geometry.

Cell lengths 4.867, 4.921, 4.921 Å; angles 90.00, 90.00, 90.00 degrees
Sites, in units of the cell vectors:
Dy  0.000  0.500  0.000
Dy  0.000  0.000  0.500
Pb  0.500  0.500  0.500
Er  0.500  0.000  0.000
C  0.000  0.000  0.000

Calculated values
DFT formation energy (meV per atom): -547
Density (kg/m³): 10024
DOS(E_F) (states/eV/cell): 2.14
E (eV per cell): -29.4


11.
VASP calculation (PBE) on crystalline AcPm8Er4 at its relaxed geometry.

Cell lengths 7.362, 7.362, 10.530 Å; angles 90.00, 110.46, 120.00 degrees
Sites, in units of the cell vectors:
Pm  0.958  0.757  0.715
Pm  0.572  0.786  0.359
Pm  0.958  0.201  0.715
Pm  0.042  0.799  0.285
Pm  0.428  0.214  0.641
Pm  0.042  0.243  0.285
Pm  0.486  0.243  0.285
Pm  0.514  0.757  0.715
Er  0.500  0.500  0.000
Er  0.500  0.000  0.000
Er  0.000  0.000  0.000
Er  0.000  0.500  0.000
Ac  0.000  0.500  0.500

Calculated values
DFT formation energy (meV per atom): 241
Density (kg/m³): 7551
DOS(E_F) (states/eV/cell): 13.97
E (eV per cell): -57.2


12.
VASP calculation (PBE) on crystalline CsNb2RuS at its relaxed geometry.

Cell lengths 5.117, 4.768, 5.117 Å; angles 90.00, 90.00, 90.00 degrees
Sites, in units of the cell vectors:
Cs  0.000  0.000  0.000
Nb  0.000  0.000  0.500
Nb  0.500  0.000  0.000
Ru  0.000  0.500  0.000
S  0.500  0.500  0.500

Calculated values
Density (kg/m³): 6010
Formation energy from raw total energies (eV/f.u.): 14.42
DOS(E_F) (states/eV/cell): 7.83
E (eV per cell): -20.0